# 1
80
Lattice="-6.755 6.755 6.755 6.755 -6.755 6.755 6.755 6.755 -6.755" Properties=species:S:1:pos:R:3 comment="Ca5Nd3H12 (PBE, optimized geometry)" magnetic_moment_mub_per_fu=1.4 rho_g_cm3=3.48 dos_ef_per_ev_atom=0.55 final_energy_ev_per_atom=-3.635 space_group="Ia-3d (230)" pbc="T T T"
Ca 0.000 0.000 0.000
Ca 3.378 3.378 -3.378
Ca 3.378 -3.378 3.378
Ca 6.755 0.000 0.000
Ca 10.133 1.689 0.000
Ca 6.755 -3.378 5.066
Ca 5.066 6.755 -3.378
Ca 5.066 0.000 3.378
Ca 3.378 5.066 0.000
Ca 6.755 3.378 1.689
Ca -3.378 3.378 3.378
Ca 0.000 6.755 0.000
Ca 0.000 0.000 6.755
Ca 3.378 3.378 3.378
Ca 0.000 3.378 5.066
Ca 3.378 1.689 6.755
Ca 1.689 6.755 3.378
Ca 1.689 0.000 10.133
Ca 0.000 10.133 1.689
Ca -3.378 5.066 6.755
Nd 3.378 1.689 0.000
Nd 6.755 3.378 -1.689
Nd 1.689 0.000 3.378
Nd 8.444 0.000 3.378
Nd 0.000 3.378 1.689
Nd 3.378 -1.689 6.755
Nd 3.378 8.444 0.000
Nd 6.755 3.378 5.066
Nd -1.689 6.755 3.378
Nd 5.066 6.755 3.378
Nd 0.000 3.378 8.444
Nd 3.378 5.066 6.755
H 2.088 -0.120 0.948
H 8.044 4.326 -3.497
H 8.843 0.120 0.948
H 8.044 -2.429 3.497
H 6.635 -0.948 2.088
H 10.252 -1.289 2.429
H 0.948 2.088 -0.120
H 9.184 3.258 -1.289
H 4.326 3.497 -1.289
H 5.807 2.088 0.120
H -0.120 0.948 2.088
H 3.497 -1.289 4.326
H 6.635 5.807 -2.088
H 3.497 1.289 2.429
H 4.326 -3.497 8.044
H 5.807 -2.088 6.635
H 2.429 3.497 1.289
H 7.703 4.667 0.120
H 3.497 8.044 -2.429
H 6.635 0.948 4.667
H 2.088 6.635 -0.948
H 8.044 2.429 3.258
H 1.289 2.429 3.497
H 2.088 0.120 5.807
H 4.667 6.635 0.948
H 5.466 4.326 3.258
H -1.289 4.326 3.497
H 4.667 0.120 7.703
H 0.120 5.807 2.088
H 3.258 -1.289 9.184
H -0.948 2.088 6.635
H 4.326 3.258 5.466
H 0.948 8.843 0.120
H 2.429 10.252 -1.289
H 3.258 5.466 4.326
H 0.120 0.948 8.843
H 3.258 8.044 2.429
H 6.875 5.807 4.667
H 0.948 4.667 6.635
H 2.429 3.258 8.044
H -2.429 3.497 8.044
H 5.807 4.667 6.875
H -3.497 8.044 4.326
H 0.120 7.703 4.667
H -1.289 9.184 3.258
H -2.088 6.635 5.807
H -1.289 2.429 10.252
H 4.667 6.875 5.807

***

# 2
11
Lattice="-1.942 2.627 5.779 1.942 -2.627 5.779 1.942 2.627 -5.779" Properties=species:S:1:pos:R:3 comment="CaNd2H8 (PBE, optimized geometry)" magnetic_moment_mub_per_fu=0.0 rho_g_cm3=4.74 final_energy_ev_per_atom=-4.057 space_group="Immm (71)" pbc="T T T"
Ca 0.000 0.000 0.000
Nd 0.000 0.000 3.744
Nd 0.000 0.000 7.813
H 1.942 -1.216 4.027
H 1.942 0.000 2.128
H 1.942 1.424 0.000
H 0.000 1.411 1.752
H 1.942 1.216 4.027
H 0.000 1.202 5.779
H 0.000 2.627 3.651
H 0.000 3.843 1.752

***

# 3
3
Lattice="3.687 0.000 0.000 -1.843 3.193 0.000 0.000 0.000 6.159" Properties=species:S:1:pos:R:3 comment="CaNdH (PBE, optimized geometry)" magnetic_moment_mub_per_fu=0.0 rho_g_cm3=4.24 dos_ef_per_ev_atom=0.97 de_polymorph_mev_per_atom=5.2 space_group="P3m1 (156)" pbc="T T T"
Ca 0.000 0.000 0.000
Nd 1.843 1.064 3.205
H 0.000 2.129 4.607

***

# 4
4
Lattice="1.894 1.094 9.139 -1.894 1.094 9.139 0.000 -2.187 9.139" Properties=species:S:1:pos:R:3 comment="CaNd2H (PBE, optimized geometry)" magnetic_moment_mub_per_fu=0.0 rho_g_cm3=4.82 dos_ef_per_ev_atom=1.09 final_energy_ev_per_atom=-3.859 space_group="R-3m (166)" pbc="T T T"
Ca 0.000 0.000 0.000
Nd 0.000 0.000 5.950
Nd 0.000 0.000 21.467
H 0.000 0.000 13.708

***

# 5
4
Lattice="1.803 1.041 5.915 -1.803 1.041 5.915 0.000 -2.082 5.915" Properties=species:S:1:pos:R:3 comment="CaNdH2 (PBE, optimized geometry)" magnetic_moment_mub_per_fu=0.0 rho_g_cm3=4.65 dos_ef_per_ev_atom=0.67 de_polymorph_mev_per_atom=0.0 space_group="R-3m (166)" pbc="T T T"
Ca 0.000 0.000 0.000
Nd 0.000 0.000 8.872
H 0.000 0.000 4.424
H 0.000 0.000 13.320

***

# 6
15
Lattice="1.930 1.114 15.835 -1.930 1.114 15.835 0.000 -2.228 15.835" Properties=species:S:1:pos:R:3 comment="CaNd4H10 (PBE, optimized geometry)" magnetic_moment_mub_per_fu=0.0 rho_g_cm3=5.10 dos_ef_per_ev_atom=0.32 final_energy_ev_per_atom=-4.265 space_group="R-3m (166)" pbc="T T T"
Ca 0.000 0.000 0.000
Nd 0.000 0.000 9.499
Nd 0.000 0.000 19.007
Nd 0.000 0.000 28.499
Nd 0.000 0.000 38.007
H 0.000 0.000 2.376
H 0.000 0.000 7.137
H 0.000 0.000 11.882
H 0.000 0.000 16.659
H 0.000 0.000 21.387
H 0.000 0.000 26.119
H 0.000 0.000 30.847
H 0.000 0.000 35.624
H 0.000 0.000 40.368
H 0.000 0.000 45.130

***

# 7
12
Lattice="5.416 0.000 0.000 0.000 5.416 0.000 0.000 0.000 5.416" Properties=species:S:1:pos:R:3 comment="Ca3NdH8 (PBE, optimized geometry)" magnetic_moment_mub_per_fu=0.0 rho_g_cm3=2.85 dos_ef_per_ev_atom=0.11 final_energy_ev_per_atom=-3.703 space_group="Pm-3m (221)" pbc="T T T"
Ca 0.000 0.000 2.708
Ca 0.000 2.708 0.000
Ca 2.708 0.000 0.000
Nd 2.708 2.708 2.708
H 1.353 1.353 1.353
H 1.353 1.353 4.063
H 1.353 4.063 1.353
H 1.353 4.063 4.063
H 4.063 1.353 1.353
H 4.063 1.353 4.063
H 4.063 4.063 1.353
H 4.063 4.063 4.063

***

# 8
80
Lattice="-6.921 6.921 6.921 6.921 -6.921 6.921 6.921 6.921 -6.921" Properties=species:S:1:pos:R:3 comment="Ca3Nd5H12 (PBE, optimized geometry)" magnetic_moment_mub_per_fu=1.5 rho_g_cm3=4.28 dos_ef_per_ev_atom=0.54 final_energy_ev_per_atom=-3.888 space_group="Ia-3d (230)" pbc="T T T"
Ca 3.460 1.730 0.000
Ca 6.921 3.460 -1.730
Ca 1.730 0.000 3.460
Ca 8.651 0.000 3.460
Ca 0.000 3.460 1.730
Ca 3.460 -1.730 6.921
Ca 3.460 8.651 0.000
Ca 6.921 3.460 5.191
Ca -1.730 6.921 3.460
Ca 5.191 6.921 3.460
Ca 0.000 3.460 8.651
Ca 3.460 5.191 6.921
Nd 0.000 0.000 0.000
Nd 3.460 3.460 -3.460
Nd 3.460 -3.460 3.460
Nd 6.921 0.000 0.000
Nd 10.381 1.730 0.000
Nd 6.921 -3.460 5.191
Nd 5.191 6.921 -3.460
Nd 5.191 0.000 3.460
Nd 3.460 5.191 0.000
Nd 6.921 3.460 1.730
Nd -3.460 3.460 3.460
Nd 0.000 6.921 0.000
Nd 0.000 0.000 6.921
Nd 3.460 3.460 3.460
Nd 0.000 3.460 5.191
Nd 3.460 1.730 6.921
Nd 1.730 6.921 3.460
Nd 1.730 0.000 10.381
Nd 0.000 10.381 1.730
Nd -3.460 5.191 6.921
H 2.212 0.002 0.748
H 8.169 4.209 -3.458
H 9.132 -0.002 0.748
H 8.169 -2.712 3.458
H 6.923 -0.748 2.212
H 10.379 -1.249 2.712
H 0.748 2.212 0.002
H 4.209 3.458 -1.249
H 6.173 2.212 -0.002
H 9.633 3.463 -1.249
H 0.002 0.748 2.212
H 3.458 -1.249 4.209
H 6.923 6.173 -2.212
H 3.458 1.249 2.712
H 2.712 3.458 1.249
H 7.669 4.709 -0.002
H 4.209 -3.458 8.169
H 6.173 -2.212 6.923
H 3.458 8.169 -2.712
H 6.923 0.748 4.709
H 2.212 6.923 -0.748
H 1.249 2.712 3.458
H 2.212 -0.002 6.173
H 8.169 2.712 3.463
H -1.249 4.209 3.458
H 4.709 6.923 0.748
H 5.672 4.209 3.463
H 4.709 -0.002 7.669
H -0.002 6.173 2.212
H 3.463 -1.249 9.633
H 0.748 9.132 -0.002
H 2.712 10.379 -1.249
H -0.748 2.212 6.923
H 4.209 3.463 5.672
H 3.463 5.672 4.209
H -0.002 0.748 9.132
H 3.463 8.169 2.712
H 6.919 6.173 4.709
H -2.712 3.458 8.169
H 0.748 4.709 6.923
H 2.712 3.463 8.169
H 6.173 4.709 6.919
H -3.458 8.169 4.209
H -0.002 7.669 4.709
H -1.249 9.633 3.463
H -2.212 6.923 6.173
H -1.249 2.712 10.379
H 4.709 6.919 6.173

***

Which formula does entry 4 have?
CaNd2H

***

Please write out number 7 again, unchanged.
12
Lattice="5.416 0.000 0.000 0.000 5.416 0.000 0.000 0.000 5.416" Properties=species:S:1:pos:R:3 comment="Ca3NdH8 (PBE, optimized geometry)" magnetic_moment_mub_per_fu=0.0 rho_g_cm3=2.85 dos_ef_per_ev_atom=0.11 final_energy_ev_per_atom=-3.703 space_group="Pm-3m (221)" pbc="T T T"
Ca 0.000 0.000 2.708
Ca 0.000 2.708 0.000
Ca 2.708 0.000 0.000
Nd 2.708 2.708 2.708
H 1.353 1.353 1.353
H 1.353 1.353 4.063
H 1.353 4.063 1.353
H 1.353 4.063 4.063
H 4.063 1.353 1.353
H 4.063 1.353 4.063
H 4.063 4.063 1.353
H 4.063 4.063 4.063